Entry from Alexandria: a geometry-optimized RbSmVO4 structure (GGA+U).

N(E_F)   0.00 states/eV per cell
VASP energy   -0.52376 Ry/atom

Unit cell a=6.062 b=6.019 c=7.694 alpha=90.00 beta=107.30 gamma=90.00
Space group P2_1/m (No. 11)
Symmetry-distinct sites (fractional):
Rb 0.214 0.250 0.437 x2
Sm 0.314 0.250 0.957 x2
V 0.219 0.750 0.152 x2
O 0.031 0.750 0.931 x2
O 0.042 0.750 0.300 x2
O 0.447 0.527 0.170 x4